A plane-wave DFT calculation with PBE-GGA was carried out for a relaxed Ti3Cd crystal.

Unit cell a=4.6864 b=4.6864 c=4.6864 alpha=60.00 beta=60.00 gamma=60.00
Last column: nearest neighbours and their distance in Å.
Fractional positions:
Ti 0.0000 0.0000 0.0000  8 Ti 2.87
Cd 0.5000 0.5000 0.5000  8 Ti 2.87
Ti 0.2500 0.2500 0.2500  4 Ti 2.87, 4 Cd 2.87
Ti 0.7500 0.7500 0.7500  4 Cd 2.87, 4 Ti 2.87

Final energy, eV/atom: -6.011
Magnetic moment, μB per cell: 2.93
DOS at the Fermi energy, states/eV/f.u.: 5.56
Symmetry: Fm-3m
Energy of formation, meV per atom: 139